1.
Entry from the Alexandria database: a geometry-optimized Ac4BiTe2Rh structure (PBE).

**Space-group type**: P2/m
**Formation energy from raw total energies**: -9.04 eV/f.u.

extended XYZ file:
```
8
Lattice="8.211 0.000 0.000 0.000 4.598 0.000 -2.545 0.000 7.892" Properties=species:S:1:pos:R:3 pbc="T T T"
Ac 1.262 0.000 1.742
Ac -0.108 2.299 6.118
Ac 5.773 2.299 1.774
Ac 4.404 0.000 6.151
Bi 4.105 0.000 0.000
Te -1.273 0.000 3.946
Te 2.833 2.299 3.946
Rh 0.000 2.299 0.000
```

---

2.
Entry from the Alexandria database: a geometry-optimized Ac2ThBi3Rh4 structure (PBE).

**Space-group type**: P-4m2
**E_form**: -630.6 meV/atom

extended XYZ file:
```
10
Lattice="4.779 0.000 0.000 0.000 4.779 0.000 0.000 0.000 11.207" Properties=species:S:1:pos:R:3 pbc="T T T"
Ac 0.000 2.390 2.447
Ac 2.390 0.000 8.759
Th 0.000 0.000 5.603
Bi 0.000 2.390 9.814
Bi 2.390 0.000 1.392
Bi 2.390 2.390 5.603
Rh 0.000 0.000 0.000
Rh 0.000 2.390 7.116
Rh 2.390 0.000 4.091
Rh 2.390 2.390 0.000
```

---

3.
Entry from the Alexandria database: a geometry-optimized AcTlBiRh structure (PBE).

**Space-group type**: F-43m
**E_form**: -275.0 meV/atom

extended XYZ file:
```
4
Lattice="0.000 3.770 3.770 3.770 0.000 3.770 3.770 3.770 0.000" Properties=species:S:1:pos:R:3 pbc="T T T"
Ac 0.000 0.000 0.000
Tl 5.656 5.656 5.656
Bi 3.770 3.770 3.770
Rh 1.885 1.885 1.885
```

---

4.
Entry from the Alexandria database: a geometry-optimized Ac2TmBi3Rh4 structure (PBE).

**Space-group type**: P-4m2
**E_form**: -629.9 meV/atom

extended XYZ file:
```
10
Lattice="4.642 0.000 0.000 0.000 4.642 0.000 0.000 0.000 11.450" Properties=species:S:1:pos:R:3 pbc="T T T"
Ac 0.000 2.321 2.691
Ac 2.321 0.000 8.759
Tm 0.000 0.000 5.725
Bi 0.000 2.321 9.997
Bi 2.321 0.000 1.454
Bi 2.321 2.321 5.725
Rh 0.000 0.000 0.000
Rh 0.000 2.321 7.304
Rh 2.321 0.000 4.146
Rh 2.321 2.321 0.000
```

---

5.
Entry from the Alexandria database: a geometry-optimized AcZnBiRh structure (PBE).

**Space-group type**: F-43m
**E_form**: -338.2 meV/atom

extended XYZ file:
```
4
Lattice="0.000 3.629 3.629 3.629 0.000 3.629 3.629 3.629 0.000" Properties=species:S:1:pos:R:3 pbc="T T T"
Ac 0.000 0.000 0.000
Zn 5.444 5.444 5.444
Bi 3.629 3.629 3.629
Rh 1.815 1.815 1.815
```

---

6.
Entry from the Alexandria database: a geometry-optimized Ac2ZnBi3Rh4 structure (PBE).

**Space-group type**: P-4m2
**E_form**: -527.1 meV/atom

extended XYZ file:
```
10
Lattice="4.650 0.000 0.000 0.000 4.650 0.000 0.000 0.000 10.886" Properties=species:S:1:pos:R:3 pbc="T T T"
Ac 0.000 2.325 2.662
Ac 2.325 0.000 8.224
Zn 2.325 2.325 0.000
Bi 0.000 0.000 0.000
Bi 0.000 2.325 6.883
Bi 2.325 0.000 4.004
Rh 0.000 0.000 5.443
Rh 0.000 2.325 9.563
Rh 2.325 0.000 1.323
Rh 2.325 2.325 5.443
```

---

7.
Entry from the Alexandria database: a geometry-optimized Ac6BiRu2 structure (PBE).

**Space-group type**: C2/c
**E_form**: -201.0 meV/atom

extended XYZ file:
```
18
Lattice="8.193 -5.483 0.000 8.193 5.483 0.000 -0.419 0.000 7.834" Properties=species:S:1:pos:R:3 pbc="T T T"
Ac 1.792 1.115 1.002
Ac 3.085 2.126 5.431
Ac 1.582 -1.115 4.919
Ac 6.168 0.304 0.779
Ac 3.294 -2.126 1.514
Ac 5.958 -0.304 4.696
Ac 10.008 0.304 3.138
Ac 12.672 2.126 6.320
Ac 9.799 -0.304 7.055
Ac 14.384 1.115 2.915
Ac 12.882 -2.126 2.403
Ac 14.175 -1.115 6.831
Bi 8.088 3.462 1.958
Bi 7.878 -3.462 5.875
Ru 3.852 0.504 2.975
Ru 3.642 -0.504 6.892
Ru 12.324 0.504 0.942
Ru 12.115 -0.504 4.859
```

---

8.
Entry from the Alexandria database: a geometry-optimized Ac3BiRu structure (PBE).

**Energy above the most stable polymorph in this dataset**: 0.46 eV/f.u.
**Space-group type**: Pm-3m
**E_form**: -423.9 meV/atom

extended XYZ file:
```
5
Lattice="5.706 0.000 0.000 0.000 5.706 0.000 0.000 0.000 5.706" Properties=species:S:1:pos:R:3 pbc="T T T"
Ac 0.000 0.000 2.853
Ac 0.000 2.853 0.000
Ac 2.853 0.000 0.000
Bi 2.853 2.853 2.853
Ru 0.000 0.000 0.000
```

---

Calculated total energy, respectively: -5.374, -6.299, -4.702, -6.004, -4.492, -5.581, -5.433, -5.520 eV per atom.